(1)
A geometry-optimized NaH2SO4 structure. Source: the Alexandria database, functional PBE.

- space-group type = No. 23
- relative energy among the computed polymorphs (meV per atom) = 534
- crystal system = orthorhombic
- E_tot (eV/atom) = -4.853

Lattice parameters (Å, degrees): 4.335 4.954 4.954 77.97 64.05 64.05
Each line ends with the local moment (μB).
Fractional coordinates of all 8 atoms:
O1 0.419 0.240 0.420  0.07
Na1 0.000 0.000 0.000  0.00
H1 0.163 0.337 0.337  0.01
O2 0.581 0.580 0.760  0.07
O3 0.079 0.760 0.580  0.07
S1 0.500 0.500 0.500  0.26
H2 0.837 0.663 0.663  0.01
O4 0.921 0.420 0.240  0.07

(2)
A geometry-optimized Na3SbH18S4O9 structure. Source: the Alexandria database, functional PBE.

- space-group type = No. 198
- crystal system = cubic
- E_tot (eV/atom) = -4.700

Lattice parameters (Å, degrees): 12.036 12.036 12.036 90.00 90.00 90.00
Fractional coordinates of all 140 atoms:
O1 0.474 0.129 0.079
H1 0.032 0.174 0.762
O2 0.371 0.921 0.974
H2 0.257 0.041 0.202
O3 0.974 0.371 0.921
H3 0.921 0.378 0.858
O4 0.807 0.199 0.518
O5 0.301 0.482 0.307
H4 0.983 0.803 0.592
Na1 0.717 0.783 0.217
S1 0.911 0.140 0.137
O6 0.816 0.414 0.760
O7 0.693 0.801 0.018
O8 0.871 0.579 0.026
H5 0.845 0.467 0.704
S2 0.360 0.863 0.411
H6 0.483 0.697 0.408
S3 0.640 0.363 0.089
O9 0.421 0.526 0.629
H7 0.642 0.079 0.878
H8 0.033 0.296 0.345
H9 0.142 0.421 0.122
O10 0.914 0.740 0.184
H10 0.197 0.092 0.517
O11 0.026 0.871 0.579
S4 0.089 0.640 0.363
O12 0.921 0.974 0.371
H11 0.798 0.757 0.459
H12 0.739 0.165 0.486
S5 0.637 0.589 0.860
S6 0.140 0.137 0.911
H13 0.296 0.345 0.033
S7 0.860 0.637 0.589
S8 0.363 0.089 0.640
H14 0.702 0.243 0.959
O13 0.684 0.586 0.260
Na2 0.283 0.283 0.283
H15 0.968 0.674 0.738
S9 0.412 0.588 0.088
O14 0.018 0.693 0.801
H16 0.967 0.796 0.155
O15 0.482 0.307 0.301
H17 0.378 0.858 0.921
H18 0.532 0.326 0.238
H19 0.517 0.197 0.092
H20 0.541 0.298 0.743
H21 0.622 0.358 0.579
S10 0.137 0.911 0.140
H22 0.803 0.592 0.983
H23 0.243 0.959 0.702
Na3 0.899 0.399 0.101
H24 0.835 0.986 0.761
Na4 0.783 0.217 0.717
H25 0.298 0.743 0.541
Sb1 0.475 0.975 0.525
H26 0.345 0.033 0.296
H27 0.202 0.257 0.041
H28 0.655 0.533 0.204
O16 0.184 0.914 0.740
H29 0.165 0.486 0.739
H30 0.204 0.655 0.533
H31 0.743 0.541 0.298
H32 0.155 0.967 0.796
O17 0.193 0.699 0.982
H33 0.858 0.921 0.378
Sb2 0.025 0.025 0.025
O18 0.086 0.240 0.316
H34 0.762 0.032 0.174
Sb3 0.525 0.475 0.975
Na5 0.556 0.944 0.056
H35 0.303 0.908 0.017
H36 0.079 0.878 0.642
H37 0.262 0.468 0.826
H38 0.261 0.665 0.014
O19 0.199 0.518 0.807
Na6 0.217 0.717 0.783
H39 0.014 0.261 0.665
H40 0.408 0.483 0.697
S11 0.411 0.360 0.863
H41 0.986 0.761 0.835
Na7 0.056 0.556 0.944
Na8 0.944 0.056 0.556
Na9 0.399 0.101 0.899
Na10 0.444 0.444 0.444
H42 0.959 0.702 0.243
O20 0.526 0.629 0.421
Na11 0.601 0.601 0.601
H43 0.757 0.459 0.798
H44 0.041 0.202 0.257
O21 0.129 0.079 0.474
H45 0.674 0.738 0.968
H46 0.761 0.835 0.986
H47 0.533 0.204 0.655
H48 0.467 0.704 0.845
H49 0.335 0.514 0.239
H50 0.326 0.238 0.532
H51 0.592 0.983 0.803
S12 0.912 0.912 0.912
O22 0.699 0.982 0.193
S13 0.863 0.411 0.360
H52 0.878 0.642 0.079
O23 0.982 0.193 0.699
H53 0.697 0.408 0.483
S14 0.588 0.088 0.412
H54 0.665 0.014 0.261
O24 0.629 0.421 0.526
O25 0.414 0.760 0.816
H55 0.468 0.826 0.262
H56 0.908 0.017 0.303
O26 0.240 0.316 0.086
H57 0.738 0.968 0.674
H58 0.579 0.622 0.358
S15 0.088 0.412 0.588
H59 0.174 0.762 0.032
H60 0.826 0.262 0.468
H61 0.704 0.845 0.467
O27 0.260 0.684 0.586
O28 0.307 0.301 0.482
H62 0.486 0.739 0.165
H63 0.358 0.579 0.622
Na12 0.101 0.899 0.399
H64 0.238 0.532 0.326
O29 0.740 0.184 0.914
O30 0.316 0.086 0.240
O31 0.079 0.474 0.129
H65 0.239 0.335 0.514
O32 0.518 0.807 0.199
H66 0.092 0.517 0.197
Sb4 0.975 0.525 0.475
O33 0.586 0.260 0.684
O34 0.760 0.816 0.414
O35 0.579 0.026 0.871
H67 0.421 0.122 0.142
H68 0.796 0.155 0.967
H69 0.514 0.239 0.335
H70 0.459 0.798 0.757
H71 0.017 0.303 0.908
S16 0.589 0.860 0.637
H72 0.122 0.142 0.421
O36 0.801 0.018 0.693

(3)
A geometry-optimized Na2TeH6SO10 structure. Source: the Alexandria database, functional PBE.

- space-group type = No. 9
- crystal system = monoclinic
- E_tot (eV/atom) = -5.268

Lattice parameters (Å, degrees): 5.887 5.887 15.419 87.97 87.97 124.12
Fractional coordinates of all 40 atoms:
O1 0.058 0.278 0.977
H1 0.853 0.389 0.190
O2 0.278 0.058 0.477
Te1 0.781 0.797 0.694
H2 0.341 0.349 0.707
H3 0.566 0.661 0.552
H4 0.957 0.545 0.765
O3 0.848 0.346 0.854
O4 0.471 0.456 0.253
Na1 0.890 0.378 0.575
H5 0.661 0.566 0.052
S1 0.424 0.934 0.445
H6 0.545 0.957 0.265
O5 0.652 0.009 0.206
H7 0.090 0.168 0.081
Te2 0.797 0.781 0.194
Na2 0.378 0.890 0.075
O6 0.979 0.591 0.176
O7 0.689 0.624 0.584
H8 0.168 0.090 0.581
H9 0.349 0.341 0.207
O8 0.456 0.471 0.753
O9 0.724 0.133 0.448
O10 0.900 0.952 0.805
O11 0.135 0.100 0.134
O12 0.133 0.724 0.948
O13 0.100 0.135 0.634
O14 0.624 0.689 0.084
H10 0.851 0.086 0.819
Na3 0.327 0.176 0.884
O15 0.591 0.979 0.676
O16 0.675 0.331 0.000
H11 0.389 0.853 0.690
O17 0.346 0.848 0.354
Na4 0.176 0.327 0.384
H12 0.086 0.851 0.319
O18 0.952 0.900 0.305
O19 0.009 0.652 0.706
O20 0.331 0.675 0.500
S2 0.934 0.424 0.945

(4)
A geometry-optimized Na2H2SeO6 structure. Source: the Alexandria database, functional PBE.

- space-group type = No. 166
- crystal system = trigonal
- E_tot (eV/atom) = -4.493

Lattice parameters (Å, degrees): 4.892 4.892 5.965 65.79 65.79 60.00
Each line ends with the local moment (μB).
Fractional coordinates of all 11 atoms:
O1 0.760 0.264 0.215  0.29
H1 0.608 0.608 0.177  -0.01
Se1 0.000 0.000 0.000  -0.04
O2 0.264 0.760 0.215  0.29
O3 0.736 0.240 0.785  0.29
Na1 0.790 0.790 0.631  0.00
O4 0.760 0.760 0.215  0.29
O5 0.240 0.240 0.785  0.29
H2 0.392 0.392 0.823  -0.01
Na2 0.210 0.210 0.369  0.00
O6 0.240 0.736 0.785  0.29

(5)
A geometry-optimized Na2H2Se2O structure. Source: the Alexandria database, functional PBE.

- space-group type = No. 12
- crystal system = monoclinic
- E_tot (eV/atom) = -3.747

Lattice parameters (Å, degrees): 4.098 5.765 5.808 85.58 69.34 69.18
Fractional coordinates of all 7 atoms:
Se1 0.837 0.661 0.664
Na1 0.502 0.250 0.746
H1 0.132 0.866 0.869
Na2 0.498 0.750 0.254
H2 0.868 0.134 0.131
Se2 0.163 0.339 0.336
O1 0.000 0.000 0.000

(6)
A geometry-optimized NaHSeO3 structure. Source: the Alexandria database, functional PBE.

- space-group type = No. 15
- crystal system = monoclinic
- E_tot (eV/atom) = -5.036

Lattice parameters (Å, degrees): 5.902 10.444 11.631 104.95 104.70 90.00
Fractional coordinates of all 48 atoms:
O1 0.765 0.937 0.373
O2 0.507 0.690 0.396
H1 0.329 0.899 0.013
O3 0.493 0.310 0.604
O4 0.235 0.063 0.627
O5 0.197 0.194 0.208
H2 0.316 0.601 0.987
O6 0.187 0.551 0.913
O7 0.725 0.051 0.913
H3 0.747 0.478 0.516
O8 0.461 0.340 0.885
H4 0.684 0.399 0.013
Se1 0.202 0.376 0.921
Se2 0.281 0.124 0.079
O9 0.168 0.510 0.393
H5 0.671 0.101 0.987
Se3 0.798 0.624 0.079
Na1 0.912 0.720 0.395
O10 0.111 0.810 0.604
Se4 0.396 0.533 0.316
Na2 0.088 0.280 0.605
H6 0.253 0.522 0.484
O11 0.608 0.437 0.373
O12 0.011 0.694 0.208
Na3 0.870 0.328 0.251
O13 0.424 0.840 0.885
O14 0.989 0.306 0.792
O15 0.775 0.990 0.607
Se5 0.604 0.467 0.684
O16 0.392 0.563 0.627
H7 0.769 0.978 0.516
O17 0.275 0.949 0.087
Se6 0.920 0.033 0.316
Na4 0.130 0.672 0.749
Na5 0.618 0.172 0.749
O18 0.889 0.190 0.396
O19 0.539 0.660 0.115
O20 0.225 0.010 0.393
H8 0.231 0.022 0.484
Na6 0.382 0.828 0.251
O21 0.813 0.449 0.087
Na7 0.483 0.220 0.395
Na8 0.517 0.780 0.605
O22 0.832 0.490 0.607
O23 0.576 0.160 0.115
O24 0.803 0.806 0.792
Se7 0.080 0.967 0.684
Se8 0.719 0.876 0.921

(7)
A geometry-optimized Na3H5Se4O16 structure. Source: the Alexandria database, functional PBE.

- space-group type = No. 1
- crystal system = triclinic
- E_tot (eV/atom) = -5.051

Lattice parameters (Å, degrees): 6.015 7.394 9.220 104.88 92.88 105.50
Fractional coordinates of all 28 atoms:
Na1 0.808 0.633 0.085
O1 0.030 0.829 0.688
O2 0.887 0.238 0.701
O3 0.112 0.761 0.302
Se1 0.672 0.332 0.682
O4 0.526 0.161 0.222
O5 0.439 0.151 0.568
O6 0.563 0.861 0.434
Na2 0.194 0.372 0.924
O7 0.741 0.925 0.038
H1 0.495 0.027 0.510
O8 0.964 0.176 0.313
O9 0.273 0.519 0.435
O10 0.573 0.432 0.835
H2 0.411 0.124 0.127
Se2 0.792 0.147 0.158
O11 0.885 0.325 0.079
Se3 0.200 0.855 0.845
H3 0.581 0.877 0.875
O12 0.250 0.075 0.966
H4 0.152 0.391 0.375
H5 0.858 0.621 0.628
Se4 0.340 0.681 0.324
O13 0.425 0.572 0.166
O14 0.104 0.673 0.919
O15 0.739 0.488 0.569
O16 0.466 0.842 0.780
Na3 0.988 0.994 0.497

(8)
A geometry-optimized NaHSeO4 structure. Source: the Alexandria database, functional PBE.

- space-group type = No. 1
- crystal system = triclinic
- E_tot (eV/atom) = -5.062

Lattice parameters (Å, degrees): 5.162 5.809 6.701 89.29 106.64 97.39
Fractional coordinates of all 14 atoms:
O1 0.683 0.864 0.502
H1 0.959 0.501 0.476
H2 0.468 0.041 0.519
Se1 0.371 0.299 0.750
Se2 0.641 0.727 0.275
O2 0.204 0.525 0.667
O3 0.233 0.124 0.897
Na1 0.038 0.257 0.155
O4 0.322 0.625 0.154
O5 0.323 0.148 0.510
Na2 0.975 0.752 0.851
O6 0.700 0.379 0.851
O7 0.798 0.473 0.341
O8 0.795 0.880 0.123

(9)
A geometry-optimized Na5HSeO2 structure. Source: the Alexandria database, functional PBE.

- space-group type = No. 123
- crystal system = tetragonal
- E_tot (eV/atom) = -3.746

Lattice parameters (Å, degrees): 4.558 4.558 7.429 90.00 90.00 90.00
Fractional coordinates of all 9 atoms:
Na1 0.000 0.000 0.500
Na2 0.500 0.000 0.772
Se1 0.500 0.500 0.500
O1 0.000 0.000 0.169
O2 0.000 0.000 0.831
Na3 0.500 0.000 0.228
Na4 0.000 0.500 0.228
Na5 0.000 0.500 0.772
H1 0.000 0.000 0.000

(10)
A geometry-optimized NaHSeO4 structure. Source: the Alexandria database, functional PBE.

- space-group type = No. 14
- crystal system = monoclinic
- E_tot (eV/atom) = -5.062

Lattice parameters (Å, degrees): 8.121 5.343 11.433 51.26 90.00 90.00
Fractional coordinates of all 28 atoms:
Na1 0.998 0.092 0.705
O1 0.885 0.630 0.545
O2 0.754 0.883 0.174
Se1 0.277 0.206 0.440
O3 0.246 0.117 0.826
Se2 0.723 0.794 0.560
H1 0.963 0.372 0.873
O4 0.656 0.105 0.390
Na2 0.502 0.092 0.205
O5 0.936 0.503 0.136
O6 0.844 0.105 0.890
O7 0.115 0.370 0.455
H2 0.037 0.628 0.127
Na3 0.002 0.908 0.295
O8 0.564 0.503 0.636
O9 0.615 0.630 0.045
O10 0.385 0.370 0.955
O11 0.746 0.883 0.674
Na4 0.498 0.908 0.795
O12 0.436 0.497 0.364
O13 0.064 0.497 0.864
O14 0.156 0.895 0.110
O15 0.344 0.895 0.610
Se3 0.223 0.206 0.940
Se4 0.777 0.794 0.060
H3 0.463 0.628 0.627
O16 0.254 0.117 0.326
H4 0.537 0.372 0.373

Repeat the tenth record exactly.
A geometry-optimized NaHSeO4 structure. Source: the Alexandria database, functional PBE.

- space-group type = No. 14
- crystal system = monoclinic
- E_tot (eV/atom) = -5.062

Lattice parameters (Å, degrees): 8.121 5.343 11.433 51.26 90.00 90.00
Fractional coordinates of all 28 atoms:
Na1 0.998 0.092 0.705
O1 0.885 0.630 0.545
O2 0.754 0.883 0.174
Se1 0.277 0.206 0.440
O3 0.246 0.117 0.826
Se2 0.723 0.794 0.560
H1 0.963 0.372 0.873
O4 0.656 0.105 0.390
Na2 0.502 0.092 0.205
O5 0.936 0.503 0.136
O6 0.844 0.105 0.890
O7 0.115 0.370 0.455
H2 0.037 0.628 0.127
Na3 0.002 0.908 0.295
O8 0.564 0.503 0.636
O9 0.615 0.630 0.045
O10 0.385 0.370 0.955
O11 0.746 0.883 0.674
Na4 0.498 0.908 0.795
O12 0.436 0.497 0.364
O13 0.064 0.497 0.864
O14 0.156 0.895 0.110
O15 0.344 0.895 0.610
Se3 0.223 0.206 0.940
Se4 0.777 0.794 0.060
H3 0.463 0.628 0.627
O16 0.254 0.117 0.326
H4 0.537 0.372 0.373

What is the formula in the fifth record? Na2H2Se2O

Which value of E_tot does entry 9 give? -3.746 eV/atom